Record 1
ZrTi2RhW: optimized geometry, PBE.

Lattice parameters (Å, degrees): 4.6918 4.7728 4.6918 90.00 90.00 90.00
Fractional coordinates of all 5 atoms:
Rh: 0.0000 0.5000 0.0000
Zr: 0.5000 0.5000 0.5000
W: 0.0000 0.0000 0.0000
Ti: 0.0000 0.0000 0.5000
Ti: 0.5000 0.0000 0.0000



Record 2
Cu3As: optimized geometry, PBE.

Lattice parameters (Å, degrees): 2.7147 2.7147 7.4837 90.00 90.00 90.13
Fractional coordinates of all 4 atoms:
As: 0.0000 0.0000 0.0000
Cu: 0.5000 0.5000 0.7286
Cu: 0.0000 0.0000 0.5000
Cu: 0.5000 0.5000 0.2714



Record 3
Y4GeBi2: optimized geometry, PBE.

Lattice parameters (Å, degrees): 5.2969 5.2969 8.9265 72.74 72.74 90.00
Fractional coordinates of all 7 atoms:
Y: 0.1706 0.1706 0.6588
Y: 0.8294 0.8294 0.3412
Y: 0.0000 0.5000 0.0000
Y: 0.5000 0.0000 0.0000
Ge: 0.0000 0.0000 0.0000
Bi: 0.3636 0.3636 0.2728
Bi: 0.6364 0.6364 0.7272



Record 4
K2LiCaC: optimized geometry, PBE.

Lattice parameters (Å, degrees): 6.2672 6.1732 6.2672 90.00 90.00 90.00
Fractional coordinates of all 5 atoms:
C: 0.5000 0.5000 0.5000
Ca: 0.0000 0.5000 0.0000
K: 0.0000 0.0000 0.5000
K: 0.5000 0.0000 0.0000
Li: 0.0000 0.0000 0.0000



Record 5
Hf3ZnNi3: optimized geometry, PBE.

Lattice parameters (Å, degrees): 3.9159 5.0535 12.2974 90.00 90.00 112.80
Fractional coordinates of all 14 atoms:
Hf: 0.1989 0.3979 0.8943
Hf: 0.8011 0.6021 0.1057
Hf: 0.1989 0.3979 0.6057
Hf: 0.8011 0.6021 0.3943
Hf: 0.4785 0.9571 0.7500
Hf: 0.5215 0.0429 0.2500
Zn: 0.5000 0.0000 0.0000
Zn: 0.5000 0.0000 0.5000
Ni: 0.9104 0.8207 0.9033
Ni: 0.0896 0.1793 0.0967
Ni: 0.9104 0.8207 0.5967
Ni: 0.0896 0.1793 0.4033
Ni: 0.7510 0.5021 0.7500
Ni: 0.2490 0.4979 0.2500



What did we get for E_form? Answer: 0.72, 0.14, -0.54, 1.49, -0.42 eV/atom, in the order shown.
What did we get for V? Answer: 105, 55, 227, 242, 224 Å³ per cell, in the order shown.
What did we get for ρ? Answer: 7.487, 7.996, 6.181, 0.940, 11.501 Mg/m³, in the order shown.